(1)
# PBE CaTi2VS, optimized geometry
data_CaTi2VS
_space_group_name_H-M_alt 'P 4/m m m'
_space_group_IT_number 123
_space_group_name_Hall '-P 4 2'
_cell_length_a 4.378
_cell_length_b 4.378
_cell_length_c 5.970
_cell_angle_alpha 90.00
_cell_angle_beta 90.00
_cell_angle_gamma 90.00
loop_
_atom_site_label
_atom_site_type_symbol
_atom_site_fract_x
_atom_site_fract_y
_atom_site_fract_z
Ca1 Ca 0.000 0.000 0.000
Ti1 Ti 0.000 0.500 0.500
V1 V 0.000 0.000 0.500
S1 S 0.500 0.500 0.000
# formation energy (no corrections) = 52.46 kJ per mole of atoms

***

(2)
# PBE CaTlS3, optimized geometry
data_CaTlS3
_space_group_name_H-M_alt 'P m -3 m'
_space_group_IT_number 221
_space_group_name_Hall '-P 4 2 3'
_cell_length_a 5.101
_cell_length_b 5.101
_cell_length_c 5.101
_cell_angle_alpha 90.00
_cell_angle_beta 90.00
_cell_angle_gamma 90.00
loop_
_atom_site_label
_atom_site_type_symbol
_atom_site_fract_x
_atom_site_fract_y
_atom_site_fract_z
Ca1 Ca 0.000 0.000 0.000
Tl1 Tl 0.500 0.500 0.500
S1 S 0.000 0.500 0.500
# formation energy (no corrections) = -21.29 kJ per mole of atoms

***

(3)
# PBE CaTl2S2, optimized geometry
data_CaTl2S2
_space_group_name_H-M_alt 'P 4/m b m'
_space_group_IT_number 127
_space_group_name_Hall '-P 4 2ab'
_cell_length_a 8.212
_cell_length_b 8.212
_cell_length_c 3.947
_cell_angle_alpha 90.00
_cell_angle_beta 90.00
_cell_angle_gamma 90.00
loop_
_atom_site_label
_atom_site_type_symbol
_atom_site_fract_x
_atom_site_fract_y
_atom_site_fract_z
Ca1 Ca 0.000 0.000 0.000
Tl1 Tl 0.126 0.374 0.000
S1 S 0.188 0.688 0.500
# formation energy (no corrections) = -38.58 kJ per mole of atoms

***

(4)
# PBE CaTl2S2, optimized geometry
data_CaTl2S2
_space_group_name_H-M_alt 'P 4/m b m'
_space_group_IT_number 127
_space_group_name_Hall '-P 4 2ab'
_cell_length_a 7.693
_cell_length_b 7.693
_cell_length_c 4.677
_cell_angle_alpha 90.00
_cell_angle_beta 90.00
_cell_angle_gamma 90.00
loop_
_atom_site_label
_atom_site_type_symbol
_atom_site_fract_x
_atom_site_fract_y
_atom_site_fract_z
Ca1 Ca 0.000 0.000 0.000
Tl1 Tl 0.142 0.358 0.500
S1 S 0.182 0.682 0.000
# formation energy (no corrections) = -67.04 kJ per mole of atoms

***

(5)
# PBE CaTlS2, optimized geometry
data_CaTlS2
_space_group_name_H-M_alt 'F m -3 m'
_space_group_IT_number 225
_space_group_name_Hall '-F 4 2 3'
_cell_length_a 7.128
_cell_length_b 7.128
_cell_length_c 7.128
_cell_angle_alpha 90.00
_cell_angle_beta 90.00
_cell_angle_gamma 90.00
loop_
_atom_site_label
_atom_site_type_symbol
_atom_site_fract_x
_atom_site_fract_y
_atom_site_fract_z
Ca1 Ca 0.000 0.000 0.000
Tl1 Tl 0.000 0.000 0.500
S1 S 0.250 0.250 0.250
# formation energy (no corrections) = -77.18 kJ per mole of atoms

***

(6)
# PBE Ca3Tl5S12, optimized geometry
data_Ca3Tl5S12
_space_group_name_H-M_alt 'I a -3 d'
_space_group_IT_number 230
_space_group_name_Hall '-I 4bd 2c 3'
_cell_length_a 16.083
_cell_length_b 16.083
_cell_length_c 16.083
_cell_angle_alpha 90.00
_cell_angle_beta 90.00
_cell_angle_gamma 90.00
loop_
_atom_site_label
_atom_site_type_symbol
_atom_site_fract_x
_atom_site_fract_y
_atom_site_fract_z
Ca1 Ca 0.000 0.250 0.125
Tl1 Tl 0.000 0.000 0.000
Tl2 Tl 0.000 0.250 0.375
S1 S 0.018 0.067 0.654
# formation energy (no corrections) = -48.46 kJ per mole of atoms